VASP calculation (PBE) on BaHoZnHg after structural relaxation.

The structure in POSCAR format:
```
BaHoZnHg
1.0
5.503 0.000 0.000
2.752 4.766 0.000
2.752 1.589 4.493
Ba Zn Hg Ho
1 1 1 1
Direct
0.250 0.250 0.250
0.000 0.000 0.000
0.500 0.500 0.500
0.750 0.750 0.750
```

VASP energy	-8.9	eV/cell
D(E_F)	0.569	states/eV per atom
space-group type	F-43m, No. 216

=====

VASP calculation (PBE) on VCdGeSe2 after structural relaxation.

The structure in POSCAR format:
```
VCdGeSe2
1.0
-0.129 -2.754 -4.270
4.763 0.053 -0.178
0.151 -4.272 2.751
Ge V Se Cd
1 1 2 1
Direct
0.000 0.000 0.000
0.000 0.500 0.000
0.000 0.000 0.500
0.500 0.000 0.000
0.500 0.500 0.500
```

raw formation energy	0.74	eV/atom
D(E_F)	1.404	states/eV per atom
space-group type	P4/mmm, No. 123